(1)
DFT (GGA-PBE) results for a relaxed structure of MgNb2W2.

Its offset from the most stable computed form is 0.0 kJ per mole of atoms. Its calculated total energy is -9.078 eV/atom. As for the formation energy from the elements: 0.45 eV per atom. The density of states at the Fermi level is 5.62 states/eV per cell.

Cell: 7.743 7.743 3.165 Å, 90.00 90.00 90.00°
Sites, in units of the cell vectors:
1 Nb 0.695 0.805 0.500
2 Nb 0.805 0.305 0.500
3 Nb 0.305 0.195 0.500
4 Nb 0.195 0.695 0.500
5 Mg 0.000 0.000 0.000
6 Mg 0.500 0.500 0.000
7 W 0.609 0.109 0.000
8 W 0.109 0.391 0.000
9 W 0.391 0.891 0.000
10 W 0.891 0.609 0.000



(2)
DFT (GGA-PBE) results for a relaxed structure of MgNbW2.

Its calculated total energy is -8.273 eV/atom. As for the formation energy from the elements: 1.12 eV per atom. The density of states at the Fermi level is 7.00 states/eV per cell.

Cell: 7.382 7.382 5.896 Å, 51.24 51.24 90.00°
Sites, in units of the cell vectors:
1 Nb 0.000 0.000 0.000
2 Nb 0.750 0.250 0.500
3 Mg 0.500 0.500 0.000
4 Mg 0.250 0.750 0.500
5 W 0.375 0.360 0.750
6 W 0.875 0.890 0.750
7 W 0.640 0.125 0.250
8 W 0.110 0.625 0.250



(3)
DFT (GGA-PBE) results for a relaxed structure of Mg14NbW.

Its offset from the most stable computed form is 4.6 kJ per mole of atoms. Its calculated total energy is -2.619 eV/atom. As for the formation energy from the elements: 0.21 eV per atom. The density of states at the Fermi level is 6.72 states/eV per cell.

Cell: 6.259 6.259 9.907 Å, 90.00 90.00 120.00°
Site moments in Bohr magnetons follow the coordinates.
Sites, in units of the cell vectors:
1 Mg 0.500 0.500 0.500  0.00
2 Mg 0.000 0.500 0.500  0.00
3 Mg 0.006 0.503 0.000  0.00
4 Mg 0.157 0.314 0.746  0.00
5 Mg 0.157 0.843 0.254  0.00
6 Mg 0.667 0.333 0.244  0.00
7 Mg 0.497 0.503 0.000  0.00
8 Mg 0.667 0.333 0.756  0.00
9 Mg 0.157 0.314 0.254  0.00
10 Mg 0.157 0.843 0.746  0.00
11 Mg 0.686 0.843 0.746  0.00
12 Mg 0.686 0.843 0.254  0.00
13 Mg 0.497 0.994 0.000  0.00
14 Mg 0.500 0.000 0.500  0.00
15 W 0.000 0.000 0.500  0.31
16 Nb 0.000 0.000 0.000  0.39



(4)
DFT (GGA-PBE) results for a relaxed structure of MgNbW3.

Its offset from the most stable computed form is 0.0 kJ per mole of atoms. Its calculated total energy is -8.045 eV/atom. As for the formation energy from the elements: 2.06 eV per atom. The density of states at the Fermi level is 7.26 states/eV per cell.

Cell: 4.809 4.809 4.809 Å, 90.00 90.00 90.00°
Sites, in units of the cell vectors:
1 W 0.500 0.000 0.000
2 W 0.000 0.000 0.500
3 W 0.000 0.500 0.000
4 Nb 0.000 0.000 0.000
5 Mg 0.500 0.500 0.500



(5)
DFT (GGA-PBE) results for a relaxed structure of Mg2NbW.

Its offset from the most stable computed form is 22.6 kJ per mole of atoms. Its calculated total energy is -5.532 eV/atom. As for the formation energy from the elements: 1.02 eV per atom. The density of states at the Fermi level is 8.95 states/eV per cell.

Cell: 7.601 7.601 5.998 Å, 50.68 50.68 90.00°
Sites, in units of the cell vectors:
1 W 0.000 0.000 0.000
2 W 0.750 0.250 0.500
3 Nb 0.250 0.750 0.500
4 Nb 0.500 0.500 0.000
5 Mg 0.375 0.367 0.750
6 Mg 0.117 0.625 0.250
7 Mg 0.875 0.883 0.750
8 Mg 0.633 0.125 0.250



(6)
DFT (GGA-PBE) results for a relaxed structure of Mg3NbW.

Its offset from the most stable computed form is 0.0 kJ per mole of atoms. Its calculated total energy is -3.735 eV/atom. As for the formation energy from the elements: 1.83 eV per atom. The density of states at the Fermi level is 12.42 states/eV per cell.

Cell: 4.982 4.982 4.982 Å, 90.00 90.00 90.00°
Site moments in Bohr magnetons follow the coordinates.
Sites, in units of the cell vectors:
1 Mg 0.500 0.000 0.000  0.03
2 Mg 0.000 0.000 0.500  0.01
3 Mg 0.000 0.500 0.000  0.03
4 Nb 0.500 0.500 0.500  -0.56
5 W 0.000 0.000 0.000  1.11